Entry 1:
First-principles (PBE-GGA) data for a relaxed Be3CS crystal, as listed in Alexandria.

Summary:
* DOS(E_F): 0.0 states/eV/cell
* calculated density: 2.04 Mg/m³
* offset from the most stable computed form: 1545.1 meV per atom
* electronic total energy: -3.410 eV per atom
* raw formation energy: 1.4963 eV per atom
* volume: 11.55 Å³ per atom

Lattice parameters (Å, degrees): 3.866 3.866 3.866 90.00 90.00 90.00
Fractional positions:
Be1 0.000 0.000 0.500
Be2 0.000 0.500 0.000
Be3 0.500 0.000 0.000
C1 0.500 0.500 0.500
S1 0.000 0.000 0.000

Entry 2:
First-principles (PBE-GGA) data for a relaxed Cd2IrCl crystal, as listed in Alexandria.

Summary:
* DOS(E_F): 2.8 states/eV/cell
* calculated density: 9.42 Mg/m³
* offset from the most stable computed form: 429.7 meV per atom
* electronic total energy: -2.833 eV per atom
* raw formation energy: 0.3012 eV per atom
* volume: 19.95 Å³ per atom

Lattice parameters (Å, degrees): 3.087 3.087 10.039 90.00 90.00 123.46
Fractional positions:
Cd1 0.000 0.000 0.000
Cd2 0.500 0.500 0.282
Ir1 0.000 0.000 0.517
Cl1 0.500 0.500 0.710

Entry 3:
First-principles (PBE-GGA) data for a relaxed KInTe2 crystal, as listed in Alexandria.

Summary:
* DOS(E_F): 2.3 states/eV/cell
* calculated density: 5.23 Mg/m³
* electronic total energy: -2.928 eV per atom
* raw formation energy: -0.3981 eV per atom
* volume: 32.48 Å³ per atom

Lattice parameters (Å, degrees): 3.393 4.201 9.114 90.00 90.00 90.00
Fractional positions:
K1 0.000 0.000 0.000
In1 0.000 0.000 0.500
Te1 0.500 0.500 0.268
Te2 0.500 0.500 0.732

Entry 4:
First-principles (PBE-GGA) data for a relaxed Pr4BiSb2 crystal, as listed in Alexandria.

Summary:
* DOS(E_F): 14.9 states/eV/cell
* calculated density: 7.52 Mg/m³
* electronic total energy: -5.456 eV per atom
* raw formation energy: -0.9924 eV per atom
* volume: 32.07 Å³ per atom

Lattice parameters (Å, degrees): 8.355 8.355 8.355 109.41 109.41 109.59
Fractional positions:
Pr1 0.129 0.735 0.748
Pr2 0.131 0.237 0.752
Pr3 0.265 0.013 0.394
Pr4 0.485 0.379 0.248
Pr5 0.619 0.871 0.606
Pr6 0.621 0.869 0.106
Pr7 0.763 0.515 0.894
Pr8 0.987 0.381 0.252
Bi1 0.000 0.000 0.000
Bi2 0.750 0.250 0.500
Sb1 0.248 0.625 0.123
Sb2 0.375 0.498 0.623
Sb3 0.502 0.125 0.877
Sb4 0.875 0.752 0.377

Entry 5:
First-principles (PBE-GGA) data for a relaxed HRhS2N crystal, as listed in Alexandria.

Summary:
* DOS(E_F): 5.0 states/eV/cell
* calculated density: 3.53 Mg/m³
* offset from the most stable computed form: 0.0 meV per atom
* electronic total energy: -4.218 eV per atom
* volume: 17.14 Å³ per atom

Lattice parameters (Å, degrees): 4.863 4.863 3.624 90.00 90.00 90.00
Fractional positions:
H1 0.000 0.000 0.000
Rh1 0.500 0.500 0.500
S1 0.000 0.500 0.500
S2 0.500 0.000 0.500
N1 0.500 0.500 0.000

Entry 6:
First-principles (PBE-GGA) data for a relaxed Ga12Se3I5 crystal, as listed in Alexandria.

Summary:
* DOS(E_F): 8.8 states/eV/cell
* calculated density: 3.72 Mg/m³
* electronic total energy: -2.800 eV per atom
* raw formation energy: -0.0737 eV per atom
* volume: 38.13 Å³ per atom

Lattice parameters (Å, degrees): 15.824 15.824 15.824 109.47 109.47 109.47
Fractional positions:
Ga1 0.044 0.729 0.651
Ga2 0.044 0.815 0.393
Ga3 0.078 0.229 0.185
Ga4 0.078 0.349 0.893
Ga5 0.107 0.685 0.456
Ga6 0.107 0.922 0.651
Ga7 0.151 0.229 0.544
Ga8 0.151 0.422 0.607
Ga9 0.185 0.078 0.229
Ga10 0.185 0.607 0.956
Ga11 0.229 0.185 0.078
Ga12 0.229 0.544 0.151
Ga13 0.271 0.349 0.956
Ga14 0.271 0.422 0.315
Ga15 0.315 0.271 0.422
Ga16 0.315 0.544 0.893
Ga17 0.349 0.893 0.078
Ga18 0.349 0.956 0.271
Ga19 0.393 0.044 0.815
Ga20 0.393 0.849 0.578
Ga21 0.422 0.315 0.271
Ga22 0.422 0.607 0.151
Ga23 0.456 0.107 0.685
Ga24 0.456 0.849 0.771
Ga25 0.544 0.151 0.229
Ga26 0.544 0.893 0.315
Ga27 0.578 0.393 0.849
Ga28 0.578 0.685 0.729
Ga29 0.607 0.151 0.422
Ga30 0.607 0.956 0.185
Ga31 0.651 0.044 0.729
Ga32 0.651 0.107 0.922
Ga33 0.685 0.456 0.107
Ga34 0.685 0.729 0.578
Ga35 0.729 0.578 0.685
Ga36 0.729 0.651 0.044
Ga37 0.771 0.456 0.849
Ga38 0.771 0.815 0.922
Ga39 0.815 0.393 0.044
Ga40 0.815 0.922 0.771
Ga41 0.849 0.578 0.393
Ga42 0.849 0.771 0.456
Ga43 0.893 0.078 0.349
Ga44 0.893 0.315 0.544
Ga45 0.922 0.651 0.107
Ga46 0.922 0.771 0.815
Ga47 0.956 0.185 0.607
Ga48 0.956 0.271 0.349
Se1 0.125 0.250 0.375
Se2 0.125 0.375 0.750
Se3 0.250 0.375 0.125
Se4 0.250 0.875 0.625
Se5 0.375 0.125 0.250
Se6 0.375 0.750 0.125
Se7 0.625 0.250 0.875
Se8 0.625 0.875 0.750
Se9 0.750 0.125 0.375
Se10 0.750 0.625 0.875
Se11 0.875 0.625 0.250
Se12 0.875 0.750 0.625
I1 0.000 0.000 0.000
I2 0.000 0.000 0.500
I3 0.000 0.500 0.000
I4 0.000 0.500 0.500
I5 0.125 0.750 0.875
I6 0.125 0.875 0.250
I7 0.250 0.125 0.875
I8 0.250 0.625 0.375
I9 0.375 0.250 0.625
I10 0.375 0.625 0.750
I11 0.500 0.000 0.000
I12 0.500 0.000 0.500
I13 0.500 0.500 0.000
I14 0.500 0.500 0.500
I15 0.625 0.375 0.250
I16 0.625 0.750 0.375
I17 0.750 0.375 0.625
I18 0.750 0.875 0.125
I19 0.875 0.125 0.750
I20 0.875 0.250 0.125

Entry 7:
First-principles (PBE-GGA) data for a relaxed Ir2PtBr crystal, as listed in Alexandria.

Summary:
* DOS(E_F): 5.6 states/eV/cell
* calculated density: 16.87 Mg/m³
* offset from the most stable computed form: 592.5 meV per atom
* electronic total energy: -5.264 eV per atom
* raw formation energy: 1.0948 eV per atom
* volume: 16.23 Å³ per atom

Lattice parameters (Å, degrees): 4.181 4.181 3.713 90.00 90.00 90.00
Fractional positions:
Ir1 0.000 0.500 0.000
Ir2 0.500 0.000 0.000
Pt1 0.000 0.000 0.500
Br1 0.500 0.500 0.500

Entry 8:
First-principles (PBE-GGA) data for a relaxed NaIn6Au3 crystal, as listed in Alexandria.

Summary:
* DOS(E_F): 7.7 states/eV/cell
* calculated density: 8.85 Mg/m³
* calculated formation energy: -0.211 eV/atom
* electronic total energy: -2.969 eV per atom
* volume: 24.43 Å³ per atom

Lattice parameters (Å, degrees): 9.881 4.540 10.908 90.00 92.89 90.00
Fractional positions:
Na1 0.094 0.250 0.249
Na2 0.906 0.750 0.751
In1 0.083 0.250 0.926
In2 0.123 0.750 0.498
In3 0.261 0.750 0.789
In4 0.327 0.750 0.292
In5 0.372 0.250 0.556
In6 0.410 0.250 0.064
In7 0.590 0.750 0.936
In8 0.628 0.750 0.444
In9 0.673 0.250 0.708
In10 0.739 0.250 0.211
In11 0.877 0.250 0.502
In12 0.917 0.750 0.074
Au1 0.116 0.250 0.668
Au2 0.214 0.750 0.049
Au3 0.492 0.250 0.325
Au4 0.508 0.750 0.675
Au5 0.786 0.250 0.951
Au6 0.884 0.750 0.332